A geometry-optimized LaTb6Ho2Er structure. Source: Alexandria, functional PBE.

Output
Theoretical density   8079 kg/m³
DFT total energy   -4.52 eV per atom
Spin magnetization   0.00 μB/f.u.

Cell: 9.500 8.819 8.819 Å, 117.26 93.03 93.03°
Fractional positions:
Ho1 0.950 0.693 0.799
Er1 0.250 0.411 0.589
La1 0.250 0.970 0.030
La2 0.750 0.030 0.970
Tb1 0.557 0.753 0.123
Er2 0.750 0.589 0.411
Ho2 0.050 0.307 0.201
Ho3 0.450 0.799 0.693
Tb2 0.057 0.123 0.753
Ho4 0.550 0.201 0.307
Tb3 0.884 0.292 0.513
Tb4 0.384 0.513 0.292
Tb5 0.318 0.987 0.441
Tb6 0.818 0.441 0.987
Tb7 0.616 0.487 0.708
Tb8 0.943 0.877 0.247
Tb9 0.182 0.559 0.013
Tb10 0.116 0.708 0.487
Tb11 0.443 0.247 0.877
Tb12 0.682 0.013 0.559